# 1
The following is a PBE-GGA calculation of an optimized crystal structure of TeS2NF, from the Alexandria database.

Computed properties:
Space group: No. 123

abc: 4.574 4.574 4.009
angles: 90.00 90.00 90.00
Last column: magnetic moment on the atom in μB.
Sites, in units of the cell vectors:
F  0.000  0.000  0.000  -0.04
N  0.000  0.000  0.500  1.26
S  0.500  0.000  0.000  -0.03
S  0.000  0.500  0.000  -0.03
Te  0.500  0.500  0.500  -0.04

=====

# 2
The following is a PBE-GGA calculation of an optimized crystal structure of TeS2NF, from the Alexandria database.

Computed properties:
Space group: No. 123

abc: 3.860 7.590 3.860
angles: 90.00 90.00 90.00
Sites, in units of the cell vectors:
Te  0.000  0.500  0.000
S  0.500  0.000  0.000
S  0.000  0.000  0.500
F  0.000  0.000  0.000
N  0.500  0.500  0.500

=====

Going through the records in order, we get E_form (uncorrected) values of 1449 1577 meV/atom.
Going through the records in order, we get energy above the most stable polymorph in this dataset values of 302 430 meV per atom.